(1)
# GGA-PBEsol HfAu2F, relaxed
# - Spin magnetization: 0.00 μB/f.u.
# - DOS at the Fermi energy: 0.45 states/eV per atom
# - DFT total energy: -0.208 hartree per atom
# - Calculated density: 14.83 Mg/m³
# - E_form (uncorrected): -598 meV per atom
data_HfAu2F
_space_group_name_H-M_alt 'F m -3 m'
_space_group_IT_number 225
_space_group_name_Hall '-F 4 2 3'
_cell_length_a 6.4226
_cell_length_b 6.4226
_cell_length_c 6.4226
_cell_angle_alpha 90.00
_cell_angle_beta 90.00
_cell_angle_gamma 90.00
loop_
_atom_site_label
_atom_site_type_symbol
_atom_site_fract_x
_atom_site_fract_y
_atom_site_fract_z
Hf1 Hf 0.0000 0.0000 0.0000
Au1 Au 0.2500 0.2500 0.2500
F1 F 0.0000 0.0000 0.5000

***

(2)
# GGA-PBEsol HfAuF2, relaxed
# - Spin magnetization: 0.00 μB/f.u.
# - DOS at the Fermi energy: 0.30 states/eV per atom
# - DFT total energy: -0.235 hartree per atom
# - Calculated density: 10.98 Mg/m³
# - E_form (uncorrected): -1825 meV per atom
data_HfAuF2
_space_group_name_H-M_alt 'I -4 2 d'
_space_group_IT_number 122
_space_group_name_Hall 'I -4 2bw'
_cell_length_a 4.2010
_cell_length_b 4.2010
_cell_length_c 14.1738
_cell_angle_alpha 90.00
_cell_angle_beta 90.00
_cell_angle_gamma 90.00
loop_
_atom_site_label
_atom_site_type_symbol
_atom_site_fract_x
_atom_site_fract_y
_atom_site_fract_z
Hf1 Hf 0.0000 0.0000 0.0000
Au1 Au 0.0000 0.0000 0.5000
F1 F 0.0809 0.2500 0.1250

***

(3)
# GGA-PBEsol HgAuF3, relaxed
# - Spin magnetization: 0.38 μB/f.u.
# - DOS at the Fermi energy: 0.87 states/eV per atom
# - DFT total energy: -0.101 hartree per atom
# - Calculated density: 9.41 Mg/m³
# - E_form (uncorrected): -707 meV per atom
data_HgAuF3
_space_group_name_H-M_alt 'P m -3 m'
_space_group_IT_number 221
_space_group_name_Hall '-P 4 2 3'
_cell_length_a 4.3134
_cell_length_b 4.3134
_cell_length_c 4.3134
_cell_angle_alpha 90.00
_cell_angle_beta 90.00
_cell_angle_gamma 90.00
loop_
_atom_site_label
_atom_site_type_symbol
_atom_site_fract_x
_atom_site_fract_y
_atom_site_fract_z
Hg1 Hg 0.0000 0.0000 0.0000
Au1 Au 0.5000 0.5000 0.5000
F1 F 0.0000 0.5000 0.5000

***

(4)
# GGA-PBEsol HgAuF2, relaxed
# - Spin magnetization: 0.00 μB/f.u.
# - DOS at the Fermi energy: 0.41 states/eV per atom
# - DFT total energy: -0.106 hartree per atom
# - Calculated density: 11.72 Mg/m³
# - E_form (uncorrected): -803 meV per atom
data_HgAuF2
_space_group_name_H-M_alt 'R -3 m'
_space_group_IT_number 166
_space_group_name_Hall '-R 3 2"'
_cell_length_a 2.9583
_cell_length_b 2.9583
_cell_length_c 24.4242
_cell_angle_alpha 90.00
_cell_angle_beta 90.00
_cell_angle_gamma 120.00
loop_
_atom_site_label
_atom_site_type_symbol
_atom_site_fract_x
_atom_site_fract_y
_atom_site_fract_z
Hg1 Hg 0.0000 0.0000 0.0000
Au1 Au 0.0000 0.0000 0.5000
F1 F 0.0000 0.0000 0.4185